# 1
Material: InGaS2Cl
Method: DFT, meta-GGA SCAN
State: PBEsol geometry

Cell: 4.9243 4.9243 5.1629 Å, 90.00 90.00 90.00°
Sites, in units of the cell vectors:
S: 0.0000 0.5000 0.0000
S: 0.5000 0.0000 0.0000
Cl: 0.0000 0.0000 0.5000
Ga: 0.5000 0.5000 0.5000
In: 0.0000 0.0000 0.0000

Computed properties:
V: 25.04 A^3/atom
Uncorrected formation energy: -0.16 eV/atom
Space group: No. 123

---

# 2
Material: RbGeP2Cl
Method: DFT, meta-GGA SCAN
State: PBEsol geometry

Cell: 5.3497 5.3497 5.4574 Å, 90.00 90.00 90.00°
Sites, in units of the cell vectors:
P: 0.0000 0.5000 0.0000
P: 0.5000 0.0000 0.0000
Ge: 0.5000 0.5000 0.5000
Rb: 0.0000 0.0000 0.0000
Cl: 0.0000 0.0000 0.5000

Computed properties:
V: 31.24 A^3/atom
Energy above the lowest structure with this stoichiometry: 1559 meV/atom
Uncorrected formation energy: 1.53 eV/atom
Space group: No. 123

---

# 3
Material: HfCoAg3
Method: DFT, meta-GGA SCAN
State: PBEsol geometry

Cell: 4.5990 4.5990 4.5990 Å, 90.00 90.00 90.00°
Sites, in units of the cell vectors:
Co: 0.0000 0.0000 0.0000
Hf: 0.5000 0.5000 0.5000
Ag: 0.0000 0.5000 0.0000
Ag: 0.0000 0.0000 0.5000
Ag: 0.5000 0.0000 0.0000

Computed properties:
V: 19.45 A^3/atom
Space group: No. 221
ΔE_f: 1.010 eV/atom

---

# 4
Material: Ta2Rh
Method: DFT, meta-GGA SCAN
State: PBEsol geometry

Cell: 2.7284 4.5410 4.5410 Å, 120.00 90.00 90.00°
Sites, in units of the cell vectors:
Rh: 0.5000 0.0000 0.0000
Ta: 0.0000 0.6667 0.3333
Ta: 0.0000 0.3333 0.6667

Computed properties:
V: 16.24 A^3/atom
Space group: No. 191
ΔE_f: 0.207 eV/atom

---

# 5
Material: InSbSe
Method: DFT, meta-GGA SCAN
State: PBEsol geometry

Cell: 3.8396 3.8396 5.7493 Å, 109.51 109.51 90.00°
Sites, in units of the cell vectors:
Sb: 0.6444 0.6444 0.2888
Se: 0.3682 0.3682 0.7364
In: 0.9874 0.9874 0.9749

Computed properties:
V: 24.90 A^3/atom
Uncorrected formation energy: 0.07 eV/atom
Space group: No. 107

---

# 6
Material: Tc5Mo
Method: DFT, meta-GGA SCAN
State: PBEsol geometry

Cell: 2.7328 5.1760 6.4664 Å, 104.39 90.00 105.31°
Sites, in units of the cell vectors:
Mo: 0.0007 0.0014 0.0010
Tc: 0.3837 0.7674 0.2819
Tc: 0.6688 0.3377 0.3393
Tc: 0.0561 0.1122 0.6067
Tc: 0.3308 0.6615 0.6631
Tc: 0.7265 0.4530 0.9414

Computed properties:
V: 14.21 A^3/atom
Energy above the lowest structure with this stoichiometry: 0 meV/atom
Space group: No. 8
ΔE_f: 0.083 eV/atom